1.
Material: YSi3Rh5
Method: DFT, PBE
State: optimized geometry

## Properties
* raw formation energy: -0.7742 eV per atom
* space-group type: Cmcm (63)
* V: 146.7 Å³/f.u.
* crystal system: orthorhombic

POSCAR file:
```
YSi3Rh5
1.0
3.9057 0.0000 0.0000
-1.9529 6.1554 0.0000
0.0000 0.0000 12.2020
Rh Si Y
10 6 2
direct
0.7969 0.5938 0.0753
0.7969 0.5938 0.4247
0.5502 0.1005 0.6445
0.0000 0.0000 0.0000
0.0000 0.0000 0.5000
0.4498 0.8995 0.3555
0.2031 0.4062 0.9247
0.4498 0.8995 0.1445
0.2031 0.4062 0.5753
0.5502 0.1005 0.8555
0.1139 0.2277 0.7500
0.6162 0.2324 0.4590
0.3838 0.7676 0.5410
0.3838 0.7676 0.9590
0.8861 0.7723 0.2500
0.6162 0.2324 0.0410
0.8427 0.6854 0.7500
0.1573 0.3146 0.2500
```

2.
Material: K4BiBr
Method: DFT, PBE
State: optimized geometry

## Properties
* raw formation energy: -0.7938 eV per atom
* space-group type: C2/c (15)
* V: 299.7 Å³/f.u.
* crystal system: monoclinic

POSCAR file:
```
K4BiBr
1.0
7.6426 0.3375 -2.7708
-2.9137 7.3539 -3.5315
-0.0022 0.4717 10.1925
K Br Bi
8 2 2
direct
0.6789 0.0623 0.4208
0.0065 0.7488 0.0501
0.9935 0.2512 0.9499
0.5436 0.3013 0.0501
0.4564 0.6987 0.9499
0.7581 0.6415 0.5792
0.2419 0.3585 0.4208
0.3211 0.9377 0.5792
0.8298 0.0798 0.1595
0.1702 0.9202 0.8405
0.6191 0.3691 0.7381
0.3809 0.6309 0.2619
```

3.
Material: La4ZnCl3
Method: DFT, PBE
State: optimized geometry

## Properties
* raw formation energy: -1.2854 eV per atom
* space-group type: Pm-3m (221)
* V: 211.1 Å³/f.u.
* crystal system: cubic

POSCAR file:
```
La4ZnCl3
1.0
-3.9414 2.7479 3.5165
2.7160 -2.2458 4.7991
3.5412 4.7809 0.2332
La Cl Zn
4 3 1
direct
0.5000 0.0000 0.0000
0.5000 0.5000 0.5000
0.0000 0.0000 0.5000
0.0000 0.5000 0.0000
0.5000 0.5000 0.0000
0.5000 0.0000 0.5000
0.0000 0.5000 0.5000
0.0000 0.0000 0.0000
```

4.
Material: Li2BePb
Method: DFT, PBE
State: optimized geometry

## Properties
* space-group type: I4/mmm (139)
* V: 66.6 Å³/f.u.
* crystal system: tetragonal
* formation energy: 0.0757 eV/atom
* polymorph energy (0 for the lowest one): 0.092 eV per atom

POSCAR file:
```
Li2BePb
1.0
5.0766 0.0035 0.0000
1.9732 4.6774 0.0000
-3.5249 -2.3404 2.8052
Pb Li Be
1 2 1
direct
0.2500 0.7500 0.5000
0.0000 0.0000 0.0000
0.5000 0.5000 0.0000
0.7500 0.2500 0.5000
```